No. 1
A geometry-optimized AlInAu2 structure. Source: Alexandria, functional PBE-GGA. Values from VASP.

```
&SYSTEM
  ibrav = 0, nat = 4, ntyp = 3
/
ATOMIC_SPECIES
Au 196.97 Au.upf
Al 26.98 Al.upf
In 114.82 In.upf
ATOMIC_POSITIONS crystal
Au 0.000 0.000 0.000
Au 0.250 0.750 0.500
Al 0.750 0.250 0.500
In 0.500 0.500 0.000
CELL_PARAMETERS angstrom
-4.225 -3.122 0.161
-0.623 -2.645 -4.499
4.089 0.686 3.231
```

Values from the calculation:
E_form = -0.08 eV/atom
total energy = -0.123 hartree per atom

---

No. 2
A geometry-optimized AlInAu2 structure. Source: Alexandria, functional PBE-GGA. Values from VASP.

```
&SYSTEM
  ibrav = 0, nat = 4, ntyp = 3
/
ATOMIC_SPECIES
Au 196.97 Au.upf
Al 26.98 Al.upf
In 114.82 In.upf
ATOMIC_POSITIONS crystal
Au 0.011 0.011 0.000
Au 0.489 0.489 0.000
Al 0.250 0.750 0.500
In 0.750 0.250 0.500
CELL_PARAMETERS angstrom
4.556 -1.145 -0.384
0.194 4.694 0.384
-1.728 -2.640 3.501
```

Values from the calculation:
E_form = -0.14 eV/atom
total energy = -0.125 hartree per atom

---

No. 3
A geometry-optimized AlInAu2 structure. Source: Alexandria, functional PBE-GGA. Values from VASP.

```
&SYSTEM
  ibrav = 0, nat = 4, ntyp = 3
/
ATOMIC_SPECIES
Au 196.97 Au.upf
Al 26.98 Al.upf
In 114.82 In.upf
ATOMIC_POSITIONS crystal
Au 0.006 0.006 0.006
Au 0.252 0.252 0.252
Al 0.742 0.742 0.742
In 0.500 0.500 0.500
CELL_PARAMETERS angstrom
-0.399 6.764 5.735
-2.528 4.749 7.061
0.611 4.409 7.680
```

Values from the calculation:
E_form = -0.09 eV/atom
total energy = -0.123 hartree per atom

---

No. 4
A geometry-optimized Al2InAu structure. Source: Alexandria, functional PBE-GGA. Values from VASP.

```
&SYSTEM
  ibrav = 0, nat = 4, ntyp = 3
/
ATOMIC_SPECIES
Au 196.97 Au.upf
Al 26.98 Al.upf
In 114.82 In.upf
ATOMIC_POSITIONS crystal
Au 0.250 0.750 0.500
Al 0.000 0.000 0.000
Al 0.500 0.500 0.000
In 0.750 0.250 0.500
CELL_PARAMETERS angstrom
-4.079 -2.478 2.039
1.666 -3.596 3.352
1.092 5.051 -0.477
```

Values from the calculation:
E_form = 0.02 eV/atom
total energy = -0.123 hartree per atom

---

No. 5
A geometry-optimized Al2In5Au12 structure. Source: Alexandria, functional PBE-GGA. Values from VASP.

```
&SYSTEM
  ibrav = 0, nat = 19, ntyp = 3
/
ATOMIC_SPECIES
Al 26.98 Al.upf
In 114.82 In.upf
Au 196.97 Au.upf
ATOMIC_POSITIONS crystal
Al 0.000 0.754 0.246
Al 0.000 0.246 0.754
In 0.124 0.292 0.292
In 0.594 0.317 0.317
In 0.500 0.000 0.000
In 0.406 0.683 0.683
In 0.876 0.708 0.708
Au 0.932 0.122 0.122
Au 0.349 0.093 0.618
Au 0.349 0.618 0.093
Au 0.767 0.099 0.642
Au 0.767 0.642 0.099
Au 0.787 0.495 0.495
Au 0.213 0.505 0.505
Au 0.233 0.901 0.358
Au 0.233 0.358 0.901
Au 0.651 0.907 0.382
Au 0.651 0.382 0.907
Au 0.068 0.878 0.878
CELL_PARAMETERS angstrom
6.969 0.006 1.512
1.200 7.128 2.581
0.102 -0.151 7.674
```

Values from the calculation:
E_form = -0.20 eV/atom
total energy = -0.124 hartree per atom

---

No. 6
A geometry-optimized AlIn2Au structure. Source: Alexandria, functional PBE-GGA. Values from VASP.

```
&SYSTEM
  ibrav = 0, nat = 4, ntyp = 3
/
ATOMIC_SPECIES
Au 196.97 Au.upf
Al 26.98 Al.upf
In 114.82 In.upf
ATOMIC_POSITIONS crystal
Au 0.000 0.500 0.500
Al 0.500 0.000 0.500
In 0.000 0.000 0.000
In 0.500 0.500 0.000
CELL_PARAMETERS angstrom
-2.207 3.849 -0.742
-2.983 -2.209 -2.586
-2.432 -0.733 3.430
```

Values from the calculation:
E_form = 0.04 eV/atom
total energy = -0.113 hartree per atom

---

No. 7
A geometry-optimized AlInAu2 structure. Source: Alexandria, functional PBE-GGA. Values from VASP.

```
&SYSTEM
  ibrav = 0, nat = 4, ntyp = 3
/
ATOMIC_SPECIES
Au 196.97 Au.upf
Al 26.98 Al.upf
In 114.82 In.upf
ATOMIC_POSITIONS crystal
Au 0.000 0.965 0.971
Au 0.500 0.230 0.287
Al 0.500 0.861 0.755
In 0.000 0.444 0.488
CELL_PARAMETERS angstrom
-4.422 2.438 0.519
-0.907 -0.995 -3.056
-1.777 -3.729 2.380
```

Values from the calculation:
E_form = -0.18 eV/atom
total energy = -0.126 hartree per atom

---

No. 8
A geometry-optimized Al2InAu structure. Source: Alexandria, functional PBE-GGA. Values from VASP.

```
&SYSTEM
  ibrav = 0, nat = 4, ntyp = 3
/
ATOMIC_SPECIES
Au 196.97 Au.upf
Al 26.98 Al.upf
In 114.82 In.upf
ATOMIC_POSITIONS crystal
Au 0.500 0.500 0.500
Al 0.000 0.000 0.000
Al 0.750 0.750 0.750
In 0.250 0.250 0.250
CELL_PARAMETERS angstrom
4.811 0.000 0.000
2.406 4.167 0.000
2.406 1.389 3.929
```

Values from the calculation:
E_form = 0.12 eV/atom
total energy = -0.120 hartree per atom

---

No. 9
A geometry-optimized Al2InAu structure. Source: Alexandria, functional PBE-GGA. Values from VASP.

```
&SYSTEM
  ibrav = 0, nat = 4, ntyp = 3
/
ATOMIC_SPECIES
Au 196.97 Au.upf
Al 26.98 Al.upf
In 114.82 In.upf
ATOMIC_POSITIONS crystal
Au 0.500 0.000 0.500
Al 0.000 0.000 0.000
Al 0.500 0.500 0.000
In 0.000 0.500 0.500
CELL_PARAMETERS angstrom
5.028 -0.022 0.000
-1.717 4.726 0.000
0.000 0.000 3.223
```

Values from the calculation:
E_form = 0.02 eV/atom
total energy = -0.123 hartree per atom

---

No. 10
A geometry-optimized Al2InAu structure. Source: Alexandria, functional PBE-GGA. Values from VASP.

```
&SYSTEM
  ibrav = 0, nat = 4, ntyp = 3
/
ATOMIC_SPECIES
Au 196.97 Au.upf
Al 26.98 Al.upf
In 114.82 In.upf
ATOMIC_POSITIONS crystal
Au 0.500 0.000 0.500
Al 0.000 0.000 0.000
Al 0.500 0.500 0.000
In 0.000 0.500 0.500
CELL_PARAMETERS angstrom
-1.453 3.897 -1.015
-2.457 -1.713 -3.059
-3.104 -0.443 2.741
```

Values from the calculation:
E_form = 0.03 eV/atom
total energy = -0.123 hartree per atom

---

No. 11
A geometry-optimized AlInAu2 structure. Source: Alexandria, functional PBE-GGA. Values from VASP.

```
&SYSTEM
  ibrav = 0, nat = 8, ntyp = 3
/
ATOMIC_SPECIES
Al 26.98 Al.upf
In 114.82 In.upf
Au 196.97 Au.upf
ATOMIC_POSITIONS crystal
Al 0.750 0.673 0.429
Al 0.250 0.327 0.571
In 0.250 0.286 0.060
In 0.750 0.714 0.940
Au 0.250 0.816 0.266
Au 0.750 0.184 0.734
Au 0.750 0.195 0.310
Au 0.250 0.805 0.690
CELL_PARAMETERS angstrom
4.046 0.000 0.000
0.000 5.540 -1.957
0.000 -0.545 7.263
```

Values from the calculation:
E_form = -0.29 eV/atom
total energy = -0.130 hartree per atom

---

No. 12
A geometry-optimized Al2InAu structure. Source: Alexandria, functional PBE-GGA. Values from VASP.

```
&SYSTEM
  ibrav = 0, nat = 4, ntyp = 3
/
ATOMIC_SPECIES
Au 196.97 Au.upf
Al 26.98 Al.upf
In 114.82 In.upf
ATOMIC_POSITIONS crystal
Au 0.518 0.518 0.000
Al 0.990 0.990 0.000
Al 0.692 0.192 0.500
In 0.300 0.800 0.500
CELL_PARAMETERS angstrom
6.782 0.413 -0.214
4.449 5.135 0.214
-5.162 -3.692 2.436
```

Values from the calculation:
E_form = -0.03 eV/atom
total energy = -0.125 hartree per atom

---

Among the records above, which one has the lowest E_form?
number 11

---

The lowest total energy belongs to which entry?
number 11

---

Please write out number 5 again, unchanged.
A geometry-optimized Al2In5Au12 structure. Source: Alexandria, functional PBE-GGA. Values from VASP.

```
&SYSTEM
  ibrav = 0, nat = 19, ntyp = 3
/
ATOMIC_SPECIES
Al 26.98 Al.upf
In 114.82 In.upf
Au 196.97 Au.upf
ATOMIC_POSITIONS crystal
Al 0.000 0.754 0.246
Al 0.000 0.246 0.754
In 0.124 0.292 0.292
In 0.594 0.317 0.317
In 0.500 0.000 0.000
In 0.406 0.683 0.683
In 0.876 0.708 0.708
Au 0.932 0.122 0.122
Au 0.349 0.093 0.618
Au 0.349 0.618 0.093
Au 0.767 0.099 0.642
Au 0.767 0.642 0.099
Au 0.787 0.495 0.495
Au 0.213 0.505 0.505
Au 0.233 0.901 0.358
Au 0.233 0.358 0.901
Au 0.651 0.907 0.382
Au 0.651 0.382 0.907
Au 0.068 0.878 0.878
CELL_PARAMETERS angstrom
6.969 0.006 1.512
1.200 7.128 2.581
0.102 -0.151 7.674
```

Values from the calculation:
E_form = -0.20 eV/atom
total energy = -0.124 hartree per atom

---

Which of these has the highest E_form?
number 8